# Te2PdC2

A relaxed Te2PdC2 crystal (GGA-PBE, Alexandria).

abc: 7.205 7.205 3.304
angles: 90.00 90.00 90.00
Positions (direct):
Te 0.176 0.324 0.000
Te 0.324 0.824 0.000
Te 0.676 0.176 0.000
Te 0.824 0.676 0.000
Pd 0.000 0.000 0.500
Pd 0.500 0.500 0.500
C 0.191 0.691 0.500
C 0.309 0.191 0.500
C 0.691 0.809 0.500
C 0.809 0.309 0.500

Results
Spin magnetization: 0.00 μB/f.u.
Relative energy among the computed polymorphs: 0.311 eV per atom
Volume: 17.15 Å³/atom
Calculated total energy: -4.51 eV per atom